Material: CrSiW2
Method: DFT, PBE
State: optimized geometry

Lattice parameters (Å, degrees): 3.721 3.721 9.640 78.87 78.87 90.00
Sites, in units of the cell vectors:
Cr1 0.750 0.250 0.500
Cr2 0.000 0.000 0.000
Si1 0.500 0.500 0.000
Si2 0.250 0.750 0.500
W1 0.375 0.383 0.750
W2 0.875 0.867 0.750
W3 0.133 0.625 0.250
W4 0.617 0.125 0.250

Material: CrSiW2
Method: DFT, PBE
State: optimized geometry

Lattice parameters (Å, degrees): 2.724 2.724 8.124 90.00 90.00 108.23
Sites, in units of the cell vectors:
Si1 0.500 0.500 0.735
W1 0.000 0.000 0.986
W2 0.500 0.500 0.263
Cr1 0.000 0.000 0.516

Material: Cr4SiW
Method: DFT, PBE
State: optimized geometry

Lattice parameters (Å, degrees): 4.746 4.746 4.746 60.00 60.00 60.00
Sites, in units of the cell vectors:
Cr1 0.624 0.624 0.624
Cr2 0.624 0.624 0.127
Cr3 0.127 0.624 0.624
Cr4 0.624 0.127 0.624
W1 0.000 0.000 0.000
Si1 0.250 0.250 0.250

Material: CrSiW2
Method: DFT, PBE
State: optimized geometry

Lattice parameters (Å, degrees): 3.209 4.291 5.971 44.11 90.00 90.00
Sites, in units of the cell vectors:
W1 0.500 0.500 0.000
W2 0.000 0.000 0.000
Cr1 0.500 0.500 0.500
Si1 0.000 0.000 0.500

Material: CrSiW2
Method: DFT, PBE
State: optimized geometry

Lattice parameters (Å, degrees): 8.445 8.445 8.445 19.44 19.44 19.44
Sites, in units of the cell vectors:
Cr1 0.250 0.250 0.250
W1 0.999 0.999 0.999
W2 0.501 0.501 0.501
Si1 0.750 0.750 0.750

Material: CrSiW2
Method: DFT, PBE
State: optimized geometry

Lattice parameters (Å, degrees): 3.157 3.157 5.681 90.00 90.00 90.00
Sites, in units of the cell vectors:
W1 0.500 0.500 0.269
W2 0.000 0.000 0.980
Si1 0.500 0.500 0.740
Cr1 0.000 0.000 0.510

Material: CrSiW4
Method: DFT, PBE
State: optimized geometry

Lattice parameters (Å, degrees): 5.221 5.221 5.221 60.00 60.00 60.00
Sites, in units of the cell vectors:
W1 0.626 0.626 0.123
W2 0.626 0.123 0.626
W3 0.123 0.626 0.626
W4 0.626 0.626 0.626
Cr1 0.250 0.250 0.250
Si1 0.000 0.000 0.000

Material: CrSiW2
Method: DFT, PBE
State: optimized geometry

Lattice parameters (Å, degrees): 4.958 4.958 4.289 64.38 64.38 37.15
Sites, in units of the cell vectors:
W1 0.004 0.004 0.996
W2 0.496 0.496 0.504
Si1 0.250 0.250 0.250
Cr1 0.750 0.750 0.750

Material: CrSiW2
Method: DFT, PBE
State: optimized geometry

Lattice parameters (Å, degrees): 4.924 4.924 2.729 80.11 80.11 114.62
Sites, in units of the cell vectors:
W1 0.500 0.500 0.000
W2 0.000 0.000 0.000
Cr1 0.500 0.000 0.500
Si1 0.000 0.500 0.500

Material: CrSiW2
Method: DFT, PBE
State: optimized geometry

Lattice parameters (Å, degrees): 5.010 5.010 5.010 143.61 130.39 63.06
Sites, in units of the cell vectors:
Si1 0.740 0.240 0.500
W1 0.002 0.002 0.000
W2 0.258 0.758 0.500
Cr1 0.500 0.500 0.000

Material: CrSiW2
Method: DFT, PBE
State: optimized geometry

Lattice parameters (Å, degrees): 3.200 3.200 5.530 90.00 90.00 90.00
Sites, in units of the cell vectors:
W1 0.000 0.000 0.994
W2 0.000 0.000 0.506
Cr1 0.500 0.500 0.250
Si1 0.500 0.500 0.750

Material: CrSiW3
Method: DFT, PBE
State: optimized geometry

Lattice parameters (Å, degrees): 4.481 4.481 4.481 90.00 90.00 90.00
Sites, in units of the cell vectors:
Cr1 0.000 0.000 0.000
W1 0.000 0.000 0.500
W2 0.000 0.500 0.000
W3 0.500 0.000 0.000
Si1 0.500 0.500 0.500

Material: CrSiW2
Method: DFT, PBE
State: optimized geometry

Lattice parameters (Å, degrees): 2.811 3.888 5.223 90.00 90.00 90.00
Sites, in units of the cell vectors:
Si1 0.500 0.500 0.750
Cr1 0.500 0.500 0.250
W1 0.000 0.000 0.499
W2 0.000 0.000 0.001

Material: CrSiW2
Method: DFT, PBE
State: optimized geometry

Lattice parameters (Å, degrees): 4.313 4.313 4.313 60.00 60.00 60.00
Sites, in units of the cell vectors:
W1 0.000 0.000 0.000
W2 0.750 0.750 0.750
Si1 0.250 0.250 0.250
Cr1 0.500 0.500 0.500

Material: CrSiW2
Method: DFT, PBE
State: optimized geometry

Lattice parameters (Å, degrees): 8.843 8.843 8.843 18.11 18.11 18.11
Sites, in units of the cell vectors:
Cr1 0.495 0.495 0.495
W1 0.005 0.005 0.005
W2 0.245 0.245 0.245
Si1 0.755 0.755 0.755

Material: CrSi3W
Method: DFT, PBE
State: optimized geometry

Distance to the lowest polymorph of the same formula in kJ/mol of atoms: 23.4

Lattice parameters (Å, degrees): 4.700 4.700 4.700 90.00 90.00 90.00
Sites, in units of the cell vectors:
Si1 0.000 0.000 0.500
Si2 0.500 0.000 0.000
Si3 0.000 0.500 0.000
Cr1 0.500 0.500 0.500
W1 0.000 0.000 0.000

Material: CrSiW2
Method: DFT, PBE
State: optimized geometry

Lattice parameters (Å, degrees): 4.141 2.713 5.247 74.79 90.00 90.00
Sites, in units of the cell vectors:
Cr1 0.500 0.250 0.250
W1 0.000 0.477 0.499
W2 0.000 0.023 0.001
Si1 0.500 0.750 0.750

Material: CrSiW2
Method: DFT, PBE
State: optimized geometry

Lattice parameters (Å, degrees): 4.302 2.735 5.008 76.08 90.00 90.00
Sites, in units of the cell vectors:
Cr1 0.000 0.536 0.501
W1 0.000 0.061 0.986
W2 0.500 0.284 0.270
Si1 0.500 0.619 0.743

Material: CrSiW2
Method: DFT, PBE
State: optimized geometry

Lattice parameters (Å, degrees): 2.732 2.732 8.115 90.00 90.00 108.54
Sites, in units of the cell vectors:
Si1 0.500 0.500 0.750
W1 0.000 0.000 0.502
W2 0.000 0.000 0.998
Cr1 0.500 0.500 0.250

Material: CrSi2W2
Method: DFT, PBE
State: optimized geometry

Lattice parameters (Å, degrees): 6.043 6.043 3.801 90.00 90.00 90.00
Sites, in units of the cell vectors:
Cr1 0.500 0.500 0.000
Cr2 0.000 0.000 0.000
W1 0.665 0.835 0.500
W2 0.165 0.665 0.500
W3 0.835 0.335 0.500
W4 0.335 0.165 0.500
Si1 0.861 0.639 0.000
Si2 0.139 0.361 0.000
Si3 0.639 0.139 0.000
Si4 0.361 0.861 0.000

The formation energy from raw total energies results, record by record, are as follows: 663.8, 62.2, 51.0, 60.8, 319.5, 14.9, 731.8, -19.3, 141.7, -3.0, 94.0, 1626.7, 155.6, 91.4, 290.8, 1409.9, 99.1, 57.0, 125.0, -58.6 meV per atom.